Material: Fe2PPt
Method: DFT, PBE
State: relaxed

Cell lengths 4.604, 4.604, 2.727 Å; angles 90.01, 90.01, 114.66 degrees
Fractional positions:
P (0.500, 0.000, 0.500)
Pt (0.000, 0.500, 0.500)
Fe (0.000, 0.000, 0.000)
Fe (0.500, 0.500, 0.000)

Output
Its symmetry is Cmmm.

Material: FeP2Pt
Method: DFT, PBE
State: relaxed

Cell lengths 3.737, 4.012, 4.159 Å; angles 98.19, 90.00, 90.00 degrees
Fractional positions:
Pt (0.500, 0.250, 0.250)
P (0.000, 0.445, 0.593)
P (0.000, 0.055, 0.907)
Fe (0.500, 0.750, 0.750)

Output
For the relative energy among the computed polymorphs, the calculation gives 244 meV/atom. Its symmetry is P2/m.

Material: FePPt
Method: DFT, PBE
State: relaxed

Cell lengths 3.714, 3.714, 3.345 Å; angles 90.00, 90.00, 120.00 degrees
Fractional positions:
Pt (0.333, 0.667, 0.641)
Fe (0.000, 0.000, 0.136)
P (0.667, 0.333, 0.223)

Output
Its symmetry is P3m1.

Material: FePPt2
Method: DFT, PBE
State: relaxed

Cell lengths 3.789, 3.183, 5.268 Å; angles 70.05, 90.00, 90.00 degrees
Fractional positions:
Pt (0.000, 0.626, 0.514)
P (0.500, 0.750, 0.750)
Pt (0.000, 0.874, 0.986)
Fe (0.500, 0.250, 0.250)

Output
Its symmetry is P2/m.

Material: FeP2Pt
Method: DFT, PBE
State: relaxed

Cell lengths 3.041, 5.034, 4.927 Å; angles 46.53, 90.00, 90.00 degrees
Fractional positions:
P (0.000, 0.000, 0.000)
Pt (0.500, 0.500, 0.500)
Fe (0.000, 0.000, 0.500)
P (0.500, 0.500, 0.000)

Output
For the relative energy among the computed polymorphs, the calculation gives 310 meV/atom. Its symmetry is P2/m.

Material: FePPt
Method: DFT, PBE
State: relaxed

Cell lengths 5.725, 6.557, 4.348 Å; angles 96.45, 90.00, 90.00 degrees
Fractional positions:
Pt (0.609, 0.086, 0.266)
P (0.379, 0.375, 0.314)
Fe (0.501, 0.327, 0.805)
Pt (0.891, 0.086, 0.766)
Pt (0.391, 0.914, 0.734)
Fe (0.001, 0.673, 0.695)
Pt (0.109, 0.914, 0.234)
P (0.879, 0.625, 0.186)
Fe (0.999, 0.327, 0.305)
P (0.121, 0.375, 0.814)
Fe (0.499, 0.673, 0.195)
P (0.621, 0.625, 0.686)

Output
Its symmetry is P2_1/c.

Material: FeP2Pt
Method: DFT, PBE
State: relaxed

Cell lengths 2.857, 2.857, 7.455 Å; angles 90.00, 90.00, 89.98 degrees
Fractional positions:
P (0.000, 0.000, 0.916)
Pt (0.000, 0.000, 0.501)
P (0.500, 0.500, 0.313)
Fe (0.500, 0.500, 0.770)

Output
For the relative energy among the computed polymorphs, the calculation gives 375 meV/atom. Its symmetry is P4mm.

Material: FePPt2
Method: DFT, PBE
State: relaxed

Cell lengths 4.350, 4.350, 4.350 Å; angles 60.00, 60.00, 60.00 degrees
Fractional positions:
Pt (0.250, 0.250, 0.250)
Fe (0.500, 0.500, 0.500)
P (0.750, 0.750, 0.750)
Pt (0.000, 0.000, 0.000)

Output
Its symmetry is F-43m.

| no. | energy relative to the elements (eV per formula unit) |
| --- | --- |
| 1 | -0.21 |
| 2 | -0.45 |
| 3 | -0.64 |
| 4 | -0.37 |
| 5 | -0.18 |
| 6 | -0.64 |
| 7 | 0.08 |
| 8 | 0.25 |